w.
## LiPb2W (SCAN)

Data for a PBEsol-optimized structure of LiPb2W.

Structure (extended XYZ):
```
4
Lattice="5.440 -1.509 0.000 5.440 1.509 0.000 -0.495 0.000 4.960" Properties=species:S:1:pos:R:3 pbc="T T T"
Li 0.000 0.000 0.000
Pb 2.227 0.000 3.981
Pb 4.974 0.000 2.335
W 7.832 0.000 1.425
```

Summary:
Space-group type: Cm
Calculated density in g/cm³: 12.34

x.
## LiPb2W (SCAN)

Data for a PBEsol-optimized structure of LiPb2W.

Structure (extended XYZ):
```
4
Lattice="3.186 0.000 0.000 0.000 4.624 0.000 0.000 0.000 5.714" Properties=species:S:1:pos:R:3 pbc="T T T"
Li 0.000 0.000 0.000
Pb 0.000 2.312 2.857
Pb 1.593 2.312 0.000
W 1.593 0.000 2.857
```

Summary:
Space-group type: Pmmm
Calculated density in g/cm³: 11.94

y.
## LiPb2W (SCAN)

Data for a PBEsol-optimized structure of LiPb2W.

Structure (extended XYZ):
```
4
Lattice="3.516 0.000 0.000 0.000 3.516 0.000 0.000 0.000 6.449" Properties=species:S:1:pos:R:3 pbc="T T T"
Li 0.000 0.000 0.000
Pb 1.758 1.758 1.644
Pb 1.758 1.758 4.806
W 0.000 0.000 3.225
```

Summary:
Space-group type: P4/mmm
Calculated density in g/cm³: 12.61

Energies relative to the most stable structure, in eV/atom: w 0.056; x 0.229; y 0.000.

w.
## Li2SiPd2 (SCAN)

Data for a PBEsol-optimized structure of Li2SiPd2.

Structure (extended XYZ):
```
5
Lattice="-1.542 1.542 6.993 1.542 -1.542 6.993 1.542 1.542 -6.993" Properties=species:S:1:pos:R:3 pbc="T T T"
Li 1.542 0.000 3.497
Li 0.000 1.542 3.497
Si 0.000 0.000 0.000
Pd 0.000 0.000 5.639
Pd 0.000 0.000 8.348
```

Summary:
Space-group type: I4/mmm
Calculated density in g/cm³: 6.36

x.
## Li2SiPd2 (SCAN)

Data for a PBEsol-optimized structure of Li2SiPd2.

Structure (extended XYZ):
```
10
Lattice="6.082 0.000 0.000 0.000 6.082 0.000 0.000 0.000 4.144" Properties=species:S:1:pos:R:3 pbc="T T T"
Li 0.982 2.059 0.000
Li 2.059 5.100 0.000
Li 4.023 0.982 0.000
Li 5.100 4.023 0.000
Si 0.000 0.000 2.072
Si 3.041 3.041 2.072
Pd 0.933 3.974 2.072
Pd 2.108 0.933 2.072
Pd 3.974 5.149 2.072
Pd 5.149 2.108 2.072
```

Summary:
Space-group type: P4/mbm
Calculated density in g/cm³: 5.52

Energies relative to the most stable structure, in eV/atom: w 0.333; x 0.000.

w.
## Li2YPd2 (SCAN)

Data for a PBEsol-optimized structure of Li2YPd2.

Structure (extended XYZ):
```
5
Lattice="-1.842 1.842 6.476 1.842 -1.842 6.476 1.842 1.842 -6.476" Properties=species:S:1:pos:R:3 pbc="T T T"
Li 1.842 0.000 3.238
Li 0.000 1.842 3.238
Y 0.000 0.000 0.000
Pd 0.000 0.000 5.122
Pd 0.000 0.000 7.829
```

Summary:
Space-group type: I4/mmm
Calculated density in g/cm³: 5.96

x.
## Li2YPd2 (SCAN)

Data for a PBEsol-optimized structure of Li2YPd2.

Structure (extended XYZ):
```
10
Lattice="7.204 0.000 0.000 0.000 7.204 0.000 0.000 0.000 3.059" Properties=species:S:1:pos:R:3 pbc="T T T"
Li 0.806 2.796 0.000
Li 2.796 6.398 0.000
Li 4.407 0.806 0.000
Li 6.398 4.407 0.000
Y 0.000 0.000 0.000
Y 3.602 3.602 0.000
Pd 1.324 4.926 1.529
Pd 2.278 1.324 1.529
Pd 4.926 5.880 1.529
Pd 5.880 2.278 1.529
```

Summary:
Space-group type: P4/mbm
Calculated density in g/cm³: 6.60

Energies relative to the most stable structure, in eV/atom: w 0.000; x 0.074.